First-principles (GGA+U) data for FeTeP2O after structural relaxation, as listed in the Alexandria database.

Geometry as CIF:
```
data_FeTeP2O
_symmetry_space_group_name_H-M 'P 4/m m m'
_symmetry_Int_Tables_number 123
_symmetry_space_group_name_Hall '-P 4 2'
_cell_length_a 5.0853
_cell_length_b 5.0853
_cell_length_c 3.9147
_cell_angle_alpha 90.00
_cell_angle_beta 90.00
_cell_angle_gamma 90.00
loop_
_atom_site_label
_atom_site_type_symbol
_atom_site_fract_x
_atom_site_fract_y
_atom_site_fract_z
_atom_site_occupancy
Fe1 Fe 0.0000 0.0000 0.0000 1
Te1 Te 0.5000 0.5000 0.5000 1
P1 P 0.0000 0.5000 0.5000 1
O1 O 0.5000 0.5000 0.0000 1
```

Computed properties:
The calculation puts the theoretical density at 4.3 g cm⁻³. Its magnetization is 3.85 μB/cell. For the offset from the most stable computed form, the calculation gives 302 kJ/mol of formula units. Its total energy is -4.059 eV per atom.